No. 1
# Ge3AuF, optimized geometry, DFT GGA-PBE
# - Spin magnetization: 0.00 μB per formula unit
# - DOS at the Fermi energy: 0.439 states/eV per atom
# - E_form (uncorrected): 0.0185 eV per atom
data_Ge3AuF
_symmetry_space_group_name_H-M 'P m -3 m'
_symmetry_Int_Tables_number 221
_symmetry_space_group_name_Hall '-P 4 2 3'
_cell_length_a 4.5590
_cell_length_b 4.5590
_cell_length_c 4.5590
_cell_angle_alpha 90.00
_cell_angle_beta 90.00
_cell_angle_gamma 90.00
loop_
_atom_site_label
_atom_site_type_symbol
_atom_site_fract_x
_atom_site_fract_y
_atom_site_fract_z
_atom_site_occupancy
Ge1 Ge 0.0000 0.0000 0.5000 1
Au1 Au 0.5000 0.5000 0.5000 1
F1 F 0.0000 0.0000 0.0000 1

---

No. 2
# Sr3ZnSn3, optimized geometry, DFT GGA-PBE
# - Spin magnetization: 0.00 μB per formula unit
# - DOS at the Fermi energy: 0.248 states/eV per atom
# - ΔH_f (0 K): -0.60 eV per atom
data_Sr3ZnSn3
_symmetry_space_group_name_H-M 'C 1 2/m 1'
_symmetry_Int_Tables_number 12
_symmetry_space_group_name_Hall '-C 2y'
_cell_length_a 11.8670
_cell_length_b 5.0200
_cell_length_c 15.9027
_cell_angle_alpha 90.00
_cell_angle_beta 110.71
_cell_angle_gamma 90.00
loop_
_atom_site_label
_atom_site_type_symbol
_atom_site_fract_x
_atom_site_fract_y
_atom_site_fract_z
_atom_site_occupancy
Sr1 Sr 0.0360 0.0000 0.3848 1
Sr2 Sr 0.0958 0.0000 0.9203 1
Sr3 Sr 0.2445 0.0000 0.2298 1
Zn1 Zn 0.2414 0.5000 0.3977 1
Sn1 Sn 0.0407 0.5000 0.2373 1
Sn2 Sn 0.1166 0.5000 0.0770 1
Sn3 Sn 0.1378 0.5000 0.5398 1

---

No. 3
# HfNbPb3, optimized geometry, DFT GGA-PBE
# - Spin magnetization: 0.00 μB per formula unit
# - DOS at the Fermi energy: 2.002 states/eV per atom
# - ΔH_f (0 K): 1.03 eV per atom
data_HfNbPb3
_symmetry_space_group_name_H-M 'P m -3 m'
_symmetry_Int_Tables_number 221
_symmetry_space_group_name_Hall '-P 4 2 3'
_cell_length_a 5.4422
_cell_length_b 5.4422
_cell_length_c 5.4422
_cell_angle_alpha 90.00
_cell_angle_beta 90.00
_cell_angle_gamma 90.00
loop_
_atom_site_label
_atom_site_type_symbol
_atom_site_fract_x
_atom_site_fract_y
_atom_site_fract_z
_atom_site_occupancy
Hf1 Hf 0.0000 0.0000 0.0000 1
Nb1 Nb 0.5000 0.5000 0.5000 1
Pb1 Pb 0.0000 0.5000 0.5000 1